TlGeNO2 | meta-GGA SCAN | single point on PBEsol structure

Summary:
Crystal system: tetragonal
E_form (uncorrected) in eV/atom: 0.90

a = 4.181 Å, b = 4.198 Å, c = 4.198 Å
α = 90.00°, β = 90.00°, γ = 90.00°
Element x y z (fractional)
Tl 0.000 0.000 0.000
Ge 0.500 0.500 0.500
O 0.000 0.000 0.500
O 0.000 0.500 0.000
N 0.500 0.000 0.000

---

ZnGeN2O | meta-GGA SCAN | single point on PBEsol structure

Summary:
Crystal system: tetragonal
E_form (uncorrected) in eV/atom: 1.14

a = 3.853 Å, b = 3.853 Å, c = 3.952 Å
α = 90.00°, β = 90.00°, γ = 90.00°
Element x y z (fractional)
Ge 0.500 0.500 0.500
Zn 0.000 0.000 0.000
O 0.000 0.000 0.500
N 0.000 0.500 0.000
N 0.500 0.000 0.000

---

Ge3OsN | meta-GGA SCAN | single point on PBEsol structure

Summary:
Crystal system: cubic
E_form (uncorrected) in eV/atom: 1.10

a = 4.678 Å, b = 4.678 Å, c = 4.678 Å
α = 90.00°, β = 90.00°, γ = 90.00°
Element x y z (fractional)
Ge 0.000 0.500 0.000
Ge 0.000 0.000 0.500
Ge 0.500 0.000 0.000
Os 0.000 0.000 0.000
N 0.500 0.500 0.500

---

Electronic total energy (eV/cell)
-108.7; -51.7; -132.9